# Ag2HCl2, relaxed, DFT PBE
# Total energy = -2.86 eV/atom
# Total magnetic moment = 0.00 μB/f.u.
data_Ag2HCl2
_chemical_formula_sum 'Ag4 H2 Cl4'
_space_group_name_H-M_alt 'P 1'
_space_group_IT_number 1
_cell_length_a 3.9975
_cell_length_b 5.9862
_cell_length_c 9.7515
_cell_angle_alpha 74.99
_cell_angle_beta 101.83
_cell_angle_gamma 90.00
loop_
_space_group_symop_operation_xyz
'x,y,z'
loop_
_atom_site_label
_atom_site_type_symbol
_atom_site_fract_x
_atom_site_fract_y
_atom_site_fract_z
_atom_site_occupancy
Ag1 Ag 0.9401 0.8819 0.8802 1
Ag2 Ag 0.0599 0.1181 0.1198 1
Ag3 Ag 0.5496 0.7814 0.0992 1
Ag4 Ag 0.4504 0.2186 0.9008 1
H1 H 0.7269 0.2611 0.4537 1
H2 H 0.2731 0.7389 0.5463 1
Cl1 Cl 0.7975 0.2424 0.5949 1
Cl2 Cl 0.2025 0.7576 0.4051 1
Cl3 Cl 0.6098 0.3498 0.2196 1
Cl4 Cl 0.3902 0.6502 0.7804 1

=====

# BeSbTe2, relaxed, DFT PBE
# E_form (uncorrected) = 0.0670 eV per atom
# Total magnetic moment = 0.00 μB/f.u.
# E above lowest polymorph = 40 meV/atom
data_BeSbTe2
_chemical_formula_sum 'Be2 Sb2 Te4'
_space_group_name_H-M_alt 'P 1'
_space_group_IT_number 1
_cell_length_a 6.9519
_cell_length_b 6.9519
_cell_length_c 6.8732
_cell_angle_alpha 59.62
_cell_angle_beta 59.62
_cell_angle_gamma 90.00
loop_
_space_group_symop_operation_xyz
'x,y,z'
loop_
_atom_site_label
_atom_site_type_symbol
_atom_site_fract_x
_atom_site_fract_y
_atom_site_fract_z
_atom_site_occupancy
Sb1 Sb 0.0000 0.0000 0.0000 1
Sb2 Sb 0.7500 0.2500 0.5000 1
Te1 Te 0.5511 0.1250 0.2500 1
Te2 Te 0.1989 0.6250 0.2500 1
Te3 Te 0.3750 0.4489 0.7500 1
Te4 Te 0.8750 0.8011 0.7500 1
Be1 Be 0.5000 0.5000 0.0000 1
Be2 Be 0.2500 0.7500 0.5000 1

=====

# Be2PIr, relaxed, DFT PBE
# Total magnetic moment = 0.00 μB/f.u.
# Formation energy = -32 meV per atom
data_Be2PIr
_chemical_formula_sum 'Be2 P1 Ir1'
_space_group_name_H-M_alt 'P 1'
_space_group_IT_number 1
_cell_length_a 7.0557
_cell_length_b 7.0557
_cell_length_c 7.0557
_cell_angle_alpha 22.85
_cell_angle_beta 22.85
_cell_angle_gamma 22.85
loop_
_space_group_symop_operation_xyz
'x,y,z'
loop_
_atom_site_label
_atom_site_type_symbol
_atom_site_fract_x
_atom_site_fract_y
_atom_site_fract_z
_atom_site_occupancy
P1 P 0.7500 0.7500 0.7500 1
Ir1 Ir 0.2500 0.2500 0.2500 1
Be1 Be 0.0009 0.0009 0.0009 1
Be2 Be 0.4991 0.4991 0.4991 1

=====

# Tb3Mg2Cu3, relaxed, DFT PBE
# Total magnetic moment = 0.00 μB/f.u.
# Formation energy = -159 meV per atom
data_Tb3Mg2Cu3
_chemical_formula_sum 'Tb3 Mg2 Cu3'
_space_group_name_H-M_alt 'P 1'
_space_group_IT_number 1
_cell_length_a 3.3912
_cell_length_b 5.0364
_cell_length_c 10.5477
_cell_angle_alpha 103.81
_cell_angle_beta 99.25
_cell_angle_gamma 90.00
loop_
_space_group_symop_operation_xyz
'x,y,z'
loop_
_atom_site_label
_atom_site_type_symbol
_atom_site_fract_x
_atom_site_fract_y
_atom_site_fract_z
_atom_site_occupancy
Tb1 Tb 0.6208 0.6208 0.2415 1
Tb2 Tb 0.3792 0.3792 0.7585 1
Tb3 Tb 0.5000 0.0000 0.0000 1
Mg1 Mg 0.7298 0.2298 0.4595 1
Mg2 Mg 0.2702 0.7702 0.5405 1
Cu1 Cu 0.1214 0.1214 0.2428 1
Cu2 Cu 0.0000 0.5000 0.0000 1
Cu3 Cu 0.8786 0.8786 0.7572 1